SiP2Se (GGA-PBE, relaxed); E = -0.1617 Ha/atom; space group = I-4m2 (119); M_tot = 0.0 Bohr magnetons per cell; polymorph energy (0 for the lowest one) = 2.34 eV per formula unit; formation energy without anion corrections = 0.533 eV/atom
1.0
-1.7074 1.7074 7.2853
1.7074 -1.7074 7.2853
1.7074 1.7074 -7.2853
Si P Se
1 2 1
Direct
0.0000 0.0000 0.0000
0.2500 0.7500 0.5000
0.5000 0.5000 0.0000
0.7500 0.2500 0.5000

***

Dy7Tm4Mg (GGA-PBE, relaxed); E_form = 0.09 eV per atom; E = -0.1550 Ha/atom; space group = P-3m1 (164); M_tot = 0.0 Bohr magnetons per cell; polymorph energy (0 for the lowest one) = 0.00 eV per formula unit
1.0
5.5375 0.0000 0.0000
-2.7688 4.7956 0.0000
0.0000 0.0000 13.8409
Dy Tm Mg
7 4 1
Direct
0.0000 0.0000 0.0000
0.0000 0.0000 0.2663
0.0000 0.0000 0.7337
0.3333 0.6667 0.1716
0.3333 0.6667 0.4238
0.6667 0.3333 0.5762
0.6667 0.3333 0.8284
0.3333 0.6667 0.6816
0.3333 0.6667 0.9254
0.6667 0.3333 0.0746
0.6667 0.3333 0.3184
0.0000 0.0000 0.5000

***

Which N(E_F) belongs to each record? In order, 1.42, 23.95 states/eV/cell.